*a*
Below is an optimized crystal structure of LiCaZn2, with properties calculated at the GGA-PBEsol level.

Unit cell a=4.6066 b=4.7722 c=6.6761 alpha=90.00 beta=90.00 gamma=90.00
Closest atoms and distances in Å follow each position.
Space group Imm2 (No. 44)
One atom of each set of equivalent atoms:
Li 0.0000 0.0000 0.0000 x2  4 Zn 2.82-2.94, 4 Ca 2.87-2.88
Ca 0.0000 0.5000 0.2398 x2  4 Zn 2.87-2.89, 4 Li 2.87-2.88
Zn 0.0000 0.0000 0.4789 x2  4 Zn 2.79-2.97, 4 Ca 2.87-2.89
Zn 0.0000 0.5000 0.7433 x2  4 Zn 2.79-2.97, 4 Li 2.82-2.94

*b*
Below is an optimized crystal structure of LiCaZn2, with properties calculated at the GGA-PBEsol level.

Unit cell a=4.3912 b=4.3912 c=14.9839 alpha=90.00 beta=90.00 gamma=120.00
Closest atoms and distances in Å follow each position.
Space group R-3m (No. 166, hexagonal axes)
One atom of each set of equivalent atoms:
Li 0.0000 0.0000 0.0000 x3  6 Zn 2.57
Ca 0.0000 0.0000 0.5000 x3  8 Zn 2.94-3.26
Zn 0.0000 0.0000 0.3036 x6  3 Li 2.57, 3 Zn 2.69

*c*
Below is an optimized crystal structure of LiCaZn2, with properties calculated at the GGA-PBEsol level.

Unit cell a=3.5566 b=4.2535 c=5.8916 alpha=90.00 beta=107.69 gamma=90.00
Closest atoms and distances in Å follow each position.
Space group Pm (No. 6)
One atom of each set of equivalent atoms:
Li 0.0000 0.0000 0.0000 x1  6 Zn 2.77-2.90
Ca 0.3054 0.5000 0.6086 x1  7 Zn 3.05-3.12
Zn 0.5742 0.5000 0.1514 x1  2 Zn 2.48
Zn 0.6901 0.0000 0.3788 x1  2 Zn 2.48, 2 Li 2.77

Each structure's energy above the most stable one, in eV/atom: *a* 0.020; *b* 0.000; *c* 0.037.

*a*
Below is an optimized crystal structure of LiCaZn2, with properties calculated at the GGA-PBEsol level.

Unit cell a=6.6388 b=6.6388 c=6.6388 alpha=90.00 beta=90.00 gamma=90.00
Closest atoms and distances in Å follow each position.
Space group F-43m (No. 216)
One atom of each set of equivalent atoms:
Li 0.0000 0.0000 0.0000 x4  4 Zn 2.87, 4 Ca 2.87
Ca 0.2500 0.2500 0.7500 x4  4 Li 2.87, 4 Zn 2.87
Zn 0.0000 0.0000 0.5000 x4  4 Ca 2.87, 4 Zn 2.87
Zn 0.2500 0.2500 0.2500 x4  4 Li 2.87, 4 Zn 2.87

*b*
Below is an optimized crystal structure of LiCaZn2, with properties calculated at the GGA-PBEsol level.

Unit cell a=4.4420 b=4.4420 c=7.9571 alpha=90.00 beta=90.00 gamma=90.00
Closest atoms and distances in Å follow each position.
Space group I4/mmm (No. 139)
One atom of each set of equivalent atoms:
Li 0.0000 0.0000 0.0000 x2  8 Zn 2.98, 4 Ca 3.14
Ca 0.0000 0.0000 0.5000 x2  8 Zn 2.98, 4 Li 3.14
Zn 0.0000 0.5000 0.2500 x4  4 Li 2.98, 4 Ca 2.98, 4 Zn 3.14

*c*
Below is an optimized crystal structure of LiCaZn2, with properties calculated at the GGA-PBEsol level.

Unit cell a=4.3702 b=4.3702 c=14.6773 alpha=90.00 beta=90.00 gamma=120.00
Closest atoms and distances in Å follow each position.
Space group R3m (No. 160, hexagonal axes)
One atom of each set of equivalent atoms:
Li 0.0000 0.0000 0.0000 x3  6 Zn 2.67-2.75, 1 Ca 2.94
Ca 0.0000 0.0000 0.2006 x3  4 Li 2.94-3.19, 7 Zn 3.05-3.26
Zn 0.0000 0.0000 0.4084 x3  3 Zn 2.53, 3 Li 2.75
Zn 0.0000 0.0000 0.7269 x3  3 Zn 2.53, 3 Li 2.67

*d*
Below is an optimized crystal structure of LiCaZn2, with properties calculated at the GGA-PBEsol level.

Unit cell a=3.3988 b=3.3988 c=6.6696 alpha=90.00 beta=90.00 gamma=90.00
Closest atoms and distances in Å follow each position.
Space group P4/mmm (No. 123)
One atom of each set of equivalent atoms:
Li 0.0000 0.0000 0.0000 x1  8 Zn 2.74
Ca 0.0000 0.0000 0.5000 x1  8 Zn 3.15, 2 Li 3.33, 4 Ca 3.40
Zn 0.5000 0.5000 0.1958 x2  1 Zn 2.61, 4 Li 2.74

Each structure's energy above the most stable one, in eV/atom: *a* 0.043; *b* 0.078; *c* 0.000; *d* 0.033.

*a*
Below is an optimized crystal structure of Li3CaZn, with properties calculated at the GGA-PBEsol level.

Unit cell a=5.5007 b=5.5007 c=5.5007 alpha=90.00 beta=90.00 gamma=90.00
Closest atoms and distances in Å follow each position.
Space group Pm-3m (No. 221)
One atom of each set of equivalent atoms:
Li 0.0000 0.0000 0.5000 x3  2 Ca 2.75
Ca 0.0000 0.0000 0.0000 x1  6 Li 2.75
Zn 0.5000 0.5000 0.5000 x1  12 Li 3.89

*b*
Below is an optimized crystal structure of Li3CaZn, with properties calculated at the GGA-PBEsol level.

Unit cell a=4.8858 b=4.8858 c=4.8858 alpha=90.00 beta=90.00 gamma=90.00
Closest atoms and distances in Å follow each position.
Space group Pm-3m (No. 221)
One atom of each set of equivalent atoms:
Li 0.0000 0.0000 0.5000 x3  2 Zn 2.44
Ca 0.5000 0.5000 0.5000 x1  12 Li 3.45
Zn 0.0000 0.0000 0.0000 x1  6 Li 2.44

Each structure's energy above the most stable one, in eV/atom: *a* 0.863; *b* 0.000.

*a*
Below is an optimized crystal structure of Ca5Mg, with properties calculated at the GGA-PBEsol level.

Unit cell a=3.9815 b=3.9815 c=14.1126 alpha=90.00 beta=90.00 gamma=90.00
Closest atoms and distances in Å follow each position.
Space group P4/mmm (No. 123)
One atom of each set of equivalent atoms:
Ca 0.0000 0.0000 0.0000 x1  12 Ca 3.82-3.98
Ca 0.0000 0.0000 0.3663 x2  4 Mg 3.39, 1 Ca 3.77
Ca 0.5000 0.5000 0.1833 x2  12 Ca 3.82-3.98
Mg 0.5000 0.5000 0.5000 x1  8 Ca 3.39

*b*
Below is an optimized crystal structure of Ca5Mg, with properties calculated at the GGA-PBEsol level.

Unit cell a=5.2575 b=15.7793 c=5.3434 alpha=90.00 beta=90.00 gamma=90.00
Closest atoms and distances in Å follow each position.
Space group Cmmm (No. 65)
One atom of each set of equivalent atoms:
Ca 0.0000 0.0000 0.0000 x2  8 Ca 3.67, 4 Mg 3.75
Ca 0.0000 0.1592 0.5000 x4  2 Mg 3.64, 10 Ca 3.67-3.89
Ca 0.0000 0.3377 0.0000 x4  10 Ca 3.67-3.88, 2 Mg 3.70
Mg 0.0000 0.5000 0.5000 x2  12 Ca 3.64-3.75

Each structure's energy above the most stable one, in eV/atom: *a* 0.000; *b* 0.019.

*a*
Below is an optimized crystal structure of Ca4Mg5, with properties calculated at the GGA-PBEsol level.

Unit cell a=10.2403 b=10.2403 c=5.1291 alpha=90.00 beta=90.00 gamma=90.00
Closest atoms and distances in Å follow each position.
Space group I4/mmm (No. 139)
One atom of each set of equivalent atoms:
Ca 0.0000 0.3142 0.0000 x8  7 Mg 3.22-3.52
Mg 0.0000 0.0000 0.0000 x2  4 Ca 3.22, 8 Mg 3.43
Mg 0.1571 0.1571 0.5000 x8  4 Mg 3.22-3.43, 6 Ca 3.43-3.52

*b*
Below is an optimized crystal structure of Ca4Mg5, with properties calculated at the GGA-PBEsol level.

Unit cell a=9.6447 b=9.6447 c=6.6635 alpha=90.00 beta=90.00 gamma=120.00
Closest atoms and distances in Å follow each position.
Space group P6_3/mcm (No. 193)
One atom of each set of equivalent atoms:
Ca 0.0000 0.0000 0.0000 x2  2 Ca 3.33, 6 Mg 3.53
Ca 0.0000 0.3503 0.2500 x6  5 Mg 3.15-3.34
Mg 0.0000 0.3228 0.7500 x6  5 Ca 3.15-3.34
Mg 0.3333 0.6667 0.0000 x4  8 Mg 3.33-3.67, 6 Ca 3.55

Each structure's energy above the most stable one, in eV/atom: *a* 0.000; *b* 0.022.

*a*
Below is an optimized crystal structure of Ca4Mg, with properties calculated at the GGA-PBEsol level.

Unit cell a=4.5383 b=4.5383 c=19.1542 alpha=90.00 beta=90.00 gamma=90.00
Closest atoms and distances in Å follow each position.
Space group I4/mmm (No. 139)
One atom of each set of equivalent atoms:
Ca 0.0000 0.0000 0.0908 x4  5 Ca 3.48-3.80, 4 Mg 3.65
Ca 0.0000 0.5000 0.2500 x4  4 Ca 3.21
Mg 0.0000 0.0000 0.5000 x2  8 Ca 3.65

*b*
Below is an optimized crystal structure of Ca4Mg, with properties calculated at the GGA-PBEsol level.

Unit cell a=8.3795 b=8.3795 c=5.1662 alpha=90.00 beta=90.00 gamma=90.00
Closest atoms and distances in Å follow each position.
Space group I4/m (No. 87)
One atom of each set of equivalent atoms:
Ca 0.1033 0.2948 0.0000 x8  9 Ca 3.64-3.85, 3 Mg 3.68-3.74
Mg 0.0000 0.0000 0.5000 x2  12 Ca 3.68-3.74

Each structure's energy above the most stable one, in eV/atom: *a* 0.277; *b* 0.000.

*a*
Below is an optimized crystal structure of CaMgSiO4, with properties calculated at the GGA-PBEsol level.

Unit cell a=9.0674 b=6.7616 c=5.1710 alpha=90.00 beta=90.00 gamma=90.00
Closest atoms and distances in Å follow each position.
Space group Pnma (No. 62)
One atom of each set of equivalent atoms:
Ca 0.1453 0.2500 0.0219 x4  4 O 2.26-2.40
Mg 0.0000 0.0000 0.5000 x4  4 O 1.99-2.12
Si 0.1804 0.7500 0.0293 x4  4 O 1.63-1.65
O 0.1178 0.5576 0.1842 x8  1 Si 1.63
O 0.1204 0.7500 0.7281 x4  1 Si 1.65
O 0.1381 0.2500 0.5572 x4  1 Si 1.65

*b*
Below is an optimized crystal structure of CaMgSiO4, with properties calculated at the GGA-PBEsol level.

Unit cell a=11.0864 b=6.3610 c=4.8251 alpha=90.00 beta=90.00 gamma=90.00
Closest atoms and distances in Å follow each position.
Space group Pnma (No. 62)
One atom of each set of equivalent atoms:
Ca 0.2239 0.2500 0.0206 x4  6 O 2.28-2.46
Mg 0.0000 0.0000 0.5000 x4  6 O 2.09-2.17
Si 0.0808 0.7500 0.0868 x4  4 O 1.63-1.67
O 0.0525 0.2500 0.7539 x4  1 Si 1.67
O 0.0774 0.7500 0.7493 x4  1 Si 1.63
O 0.1477 0.5437 0.2269 x8  1 Si 1.65

Each structure's energy above the most stable one, in eV/atom: *a* 0.045; *b* 0.000.

*a*
Below is an optimized crystal structure of CaMgP2, with properties calculated at the GGA-PBEsol level.

Unit cell a=7.7867 b=3.8783 c=5.5818 alpha=90.00 beta=109.11 gamma=90.00
Closest atoms and distances in Å follow each position.
Space group C2/m (No. 12)
One atom of each set of equivalent atoms:
Ca 0.0000 0.0000 0.0000 x2  6 P 2.88
Mg 0.0000 0.5000 0.5000 x2  6 P 2.61-2.69
P 0.2434 0.0000 0.7063 x4  3 Mg 2.61-2.69, 3 Ca 2.88

*b*
Below is an optimized crystal structure of CaMgP2, with properties calculated at the GGA-PBEsol level.

Unit cell a=4.4939 b=4.5465 c=7.3380 alpha=90.00 beta=90.00 gamma=90.00
Closest atoms and distances in Å follow each position.
Space group Immm (No. 71)
One atom of each set of equivalent atoms:
Ca 0.0000 0.0000 0.0000 x2  8 P 2.90-2.92, 4 Mg 3.20
Mg 0.0000 0.0000 0.5000 x2  8 P 2.90-2.92, 4 Ca 3.20
P 0.0000 0.5000 0.2494 x4  4 Mg 2.90-2.92, 4 Ca 2.90-2.92, 4 P 3.20

Each structure's energy above the most stable one, in eV/atom: *a* 0.000; *b* 0.054.

*a*
Below is an optimized crystal structure of CaMg2Pt2, with properties calculated at the GGA-PBEsol level.

Unit cell a=4.1327 b=4.1327 c=11.8423 alpha=90.00 beta=90.00 gamma=90.00
Closest atoms and distances in Å follow each position.
Space group I4/mmm (No. 139)
One atom of each set of equivalent atoms:
Ca 0.0000 0.0000 0.0000 x2  8 Pt 3.19
Mg 0.0000 0.5000 0.2500 x4  4 Pt 2.66, 4 Mg 2.92
Pt 0.0000 0.0000 0.3913 x4  1 Pt 2.57, 4 Mg 2.66

*b*
Below is an optimized crystal structure of CaMg2Pt2, with properties calculated at the GGA-PBEsol level.

Unit cell a=7.8568 b=7.8568 c=2.9629 alpha=90.00 beta=90.00 gamma=90.00
Closest atoms and distances in Å follow each position.
Space group P4/mbm (No. 127)
One atom of each set of equivalent atoms:
Ca 0.0000 0.0000 0.0000 x2  4 Pt 2.94, 2 Ca 2.96
Mg 0.1322 0.3678 0.5000 x4  6 Pt 2.71-2.77, 3 Mg 2.94-2.96
Pt 0.1635 0.6635 0.0000 x4  6 Mg 2.71-2.77, 2 Ca 2.94, 2 Pt 2.96

Each structure's energy above the most stable one, in eV/atom: *a* 0.000; *b* 0.009.

*a*
Below is an optimized crystal structure of CaMg2Sb2, with properties calculated at the GGA-PBEsol level.

Unit cell a=4.6433 b=4.6433 c=7.4645 alpha=90.00 beta=90.00 gamma=120.00
Closest atoms and distances in Å follow each position.
Space group P-3m1 (No. 164)
One atom of each set of equivalent atoms:
Ca 0.0000 0.0000 0.0000 x1  6 Sb 3.23
Mg 0.3333 0.6667 0.6316 x2  4 Sb 2.84-2.91
Sb 0.3333 0.6667 0.2411 x2  4 Mg 2.84-2.91

*b*
Below is an optimized crystal structure of CaMg2Sb2, with properties calculated at the GGA-PBEsol level.

Unit cell a=8.3630 b=8.3630 c=3.7008 alpha=90.00 beta=90.00 gamma=90.00
Closest atoms and distances in Å follow each position.
Space group P4/mbm (No. 127)
One atom of each set of equivalent atoms:
Ca 0.0000 0.0000 0.0000 x2  4 Sb 3.13
Mg 0.1337 0.3663 0.5000 x4  6 Sb 3.03-3.11, 1 Mg 3.16
Sb 0.1635 0.6635 0.0000 x4  6 Mg 3.03-3.11, 2 Ca 3.13

Each structure's energy above the most stable one, in eV/atom: *a* 0.000; *b* 0.298.

*a*
Below is an optimized crystal structure of CaMgTl2, with properties calculated at the GGA-PBEsol level.

Unit cell a=3.6915 b=3.7012 c=7.4293 alpha=90.00 beta=90.11 gamma=90.00
Closest atoms and distances in Å follow each position.
Space group P2/m (No. 10)
One atom of each set of equivalent atoms:
Ca 0.0000 0.0000 0.0000 x1  8 Tl 3.31-3.32, 4 Ca 3.69-3.70
Mg 0.0000 0.0000 0.5000 x1  8 Tl 3.10-3.11
Tl 0.4994 0.5000 0.2744 x2  4 Mg 3.10-3.11, 4 Ca 3.31-3.32, 1 Tl 3.35

*b*
Below is an optimized crystal structure of CaMgTl2, with properties calculated at the GGA-PBEsol level.

Unit cell a=4.0145 b=4.0145 c=6.7519 alpha=90.00 beta=90.00 gamma=90.00
Closest atoms and distances in Å follow each position.
Space group P4mm (No. 99)
One atom of each set of equivalent atoms:
Ca 0.0000 0.0000 0.0000 x1  6 Tl 3.28-3.42, 4 Mg 3.48
Mg 0.5000 0.5000 0.2970 x1  5 Tl 3.10-3.13
Tl 0.0000 0.0000 0.4937 x1  4 Mg 3.13, 2 Ca 3.33-3.42, 4 Tl 3.35
Tl 0.5000 0.5000 0.7561 x1  1 Mg 3.10, 4 Ca 3.28, 4 Tl 3.35

Each structure's energy above the most stable one, in eV/atom: *a* 0.000; *b* 0.126.